# 1
# Ba2SrPt (PBE-GGA, optimized geometry)
# - Polymorph energy (0 for the lowest one): 0.093 eV per atom
# - ρ: 4.68 g/cm3
# - Crystal system: trigonal
# - DOS(E_F): 8.56 states/eV/cell
data_Ba2SrPt
_symmetry_space_group_name_H-M 'R -3 m'
_symmetry_Int_Tables_number 166
_symmetry_space_group_name_Hall '-R 3 2"'
_cell_length_a 4.5297
_cell_length_b 4.5297
_cell_length_c 33.4015
_cell_angle_alpha 90.00
_cell_angle_beta 90.00
_cell_angle_gamma 120.00
loop_
_atom_site_label
_atom_site_type_symbol
_atom_site_fract_x
_atom_site_fract_y
_atom_site_fract_z
Ba1 Ba 0.0000 0.0000 0.2188
Sr1 Sr 0.0000 0.0000 0.0000
Pt1 Pt 0.0000 0.0000 0.5000


# 2
# Ba3SrPt (PBE-GGA, optimized geometry)
# - Polymorph energy (0 for the lowest one): 0.035 eV per atom
# - ρ: 4.47 g/cm3
# - Crystal system: cubic
# - DOS(E_F): 4.34 states/eV/cell
data_Ba3SrPt
_symmetry_space_group_name_H-M 'P m -3 m'
_symmetry_Int_Tables_number 221
_symmetry_space_group_name_Hall '-P 4 2 3'
_cell_length_a 6.364
_cell_length_b 6.364
_cell_length_c 6.364
_cell_angle_alpha 90.00
_cell_angle_beta 90.00
_cell_angle_gamma 90.00
loop_
_atom_site_label
_atom_site_type_symbol
_atom_site_fract_x
_atom_site_fract_y
_atom_site_fract_z
Ba1 Ba 0.000 0.000 0.500
Sr1 Sr 0.500 0.500 0.500
Pt1 Pt 0.000 0.000 0.000


# 3
# BaSr2Pt (PBE-GGA, optimized geometry)
# - Polymorph energy (0 for the lowest one): 0.015 eV per atom
# - ρ: 5.23 g/cm3
# - Crystal system: orthorhombic
# - DOS(E_F): 8.50 states/eV/cell
data_BaSr2Pt
_symmetry_space_group_name_H-M 'C m c m'
_symmetry_Int_Tables_number 63
_symmetry_space_group_name_Hall '-C 2c 2'
_cell_length_a 4.396
_cell_length_b 14.375
_cell_length_c 10.204
_cell_angle_alpha 90.00
_cell_angle_beta 90.00
_cell_angle_gamma 90.00
loop_
_atom_site_label
_atom_site_type_symbol
_atom_site_fract_x
_atom_site_fract_y
_atom_site_fract_z
Ba1 Ba 0.000 0.081 0.250
Sr1 Sr 0.000 0.345 0.071
Pt1 Pt 0.000 0.258 0.750


# 4
# Ba7SrPt3 (PBE-GGA, optimized geometry)
# - ρ: 5.00 g/cm3
# - Crystal system: monoclinic
# - Total DFT energy (no corrections): -78.601 eV per cell
# - DOS(E_F): 11.85 states/eV/cell
data_Ba7SrPt3
_symmetry_space_group_name_H-M 'C 1 m 1'
_symmetry_Int_Tables_number 8
_cell_length_a 14.921
_cell_length_b 9.181
_cell_length_c 10.863
_cell_angle_alpha 90.00
_cell_angle_beta 133.19
_cell_angle_gamma 90.00
loop_
_symmetry_equiv_pos_as_xyz
'x,y,z'
'x,-y,z'
'x+1/2,y+1/2,z'
'x+1/2,-y+1/2,z'
loop_
_atom_site_label
_atom_site_type_symbol
_atom_site_fract_x
_atom_site_fract_y
_atom_site_fract_z
Ba1 Ba 0.000 0.000 0.000
Ba2 Ba 0.003 0.500 0.009
Ba3 Ba 0.072 0.500 0.684
Ba4 Ba 0.254 0.258 0.515
Ba5 Ba 0.316 0.259 0.171
Sr1 Sr 0.057 0.000 0.673
Pt1 Pt 0.036 0.249 0.841
Pt2 Pt 0.286 0.500 0.344


# 5
# Ba3Sr5Pt2 (PBE-GGA, optimized geometry)
# - ρ: 4.26 g/cm3
# - Crystal system: orthorhombic
# - Total DFT energy (no corrections): -120.914 eV per cell
# - DOS(E_F): 28.39 states/eV/cell
data_Ba3Sr5Pt2
_symmetry_space_group_name_H-M 'I b a m'
_symmetry_Int_Tables_number 72
_symmetry_space_group_name_Hall '-I 2 2c'
_cell_length_a 12.076
_cell_length_b 17.752
_cell_length_c 9.020
_cell_angle_alpha 90.00
_cell_angle_beta 90.00
_cell_angle_gamma 90.00
loop_
_atom_site_label
_atom_site_type_symbol
_atom_site_fract_x
_atom_site_fract_y
_atom_site_fract_z
Ba1 Ba 0.000 0.000 0.250
Ba2 Ba 0.249 0.373 0.000
Sr1 Sr 0.000 0.243 0.250
Sr2 Sr 0.000 0.500 0.250
Sr3 Sr 0.249 0.375 0.500
Pt1 Pt 0.004 0.131 0.000


# 6
# BaSr2Pt (PBE-GGA, optimized geometry)
# - Polymorph energy (0 for the lowest one): 0.433 eV per atom
# - ρ: 5.95 g/cm3
# - Crystal system: tetragonal
# - DOS(E_F): 4.32 states/eV/cell
data_BaSr2Pt
_symmetry_space_group_name_H-M 'P 4/m m m'
_symmetry_Int_Tables_number 123
_symmetry_space_group_name_Hall '-P 4 2'
_cell_length_a 5.155
_cell_length_b 5.155
_cell_length_c 5.328
_cell_angle_alpha 90.00
_cell_angle_beta 90.00
_cell_angle_gamma 90.00
loop_
_atom_site_label
_atom_site_type_symbol
_atom_site_fract_x
_atom_site_fract_y
_atom_site_fract_z
Ba1 Ba 0.000 0.000 0.000
Sr1 Sr 0.000 0.500 0.500
Pt1 Pt 0.500 0.500 0.000


# 7
# BaSr2Pt (PBE-GGA, optimized geometry)
# - Polymorph energy (0 for the lowest one): 0.470 eV per atom
# - ρ: 5.96 g/cm3
# - Crystal system: tetragonal
# - DOS(E_F): 5.32 states/eV/cell
data_BaSr2Pt
_symmetry_space_group_name_H-M 'I -4 m 2'
_symmetry_Int_Tables_number 119
_symmetry_space_group_name_Hall 'I -4 -2'
_cell_length_a 4.974
_cell_length_b 4.974
_cell_length_c 11.438
_cell_angle_alpha 90.00
_cell_angle_beta 90.00
_cell_angle_gamma 90.00
loop_
_atom_site_label
_atom_site_type_symbol
_atom_site_fract_x
_atom_site_fract_y
_atom_site_fract_z
Ba1 Ba 0.000 0.000 0.000
Sr1 Sr 0.000 0.000 0.500
Sr2 Sr 0.000 0.500 0.250
Pt1 Pt 0.000 0.500 0.750


# 8
# BaSrPt2 (PBE-GGA, optimized geometry)
# - Polymorph energy (0 for the lowest one): 0.144 eV per atom
# - ρ: 8.07 g/cm3
# - Crystal system: tetragonal
data_BaSrPt2
_symmetry_space_group_name_H-M 'P 4/m m m'
_symmetry_Int_Tables_number 123
_symmetry_space_group_name_Hall '-P 4 2'
_cell_length_a 4.471
_cell_length_b 4.471
_cell_length_c 6.327
_cell_angle_alpha 90.00
_cell_angle_beta 90.00
_cell_angle_gamma 90.00
loop_
_atom_site_label
_atom_site_type_symbol
_atom_site_fract_x
_atom_site_fract_y
_atom_site_fract_z
Ba1 Ba 0.000 0.000 0.000
Sr1 Sr 0.500 0.500 0.500
Pt1 Pt 0.000 0.000 0.500
Pt2 Pt 0.500 0.500 0.000


# 9
# BaSrPt (PBE-GGA, optimized geometry)
# - Polymorph energy (0 for the lowest one): 0.085 eV per atom
# - ρ: 6.32 g/cm3
# - Crystal system: tetragonal
# - DOS(E_F): 3.95 states/eV/cell
data_BaSrPt
_symmetry_space_group_name_H-M 'I 4 m m'
_symmetry_Int_Tables_number 107
_symmetry_space_group_name_Hall 'I 4 -2'
_cell_length_a 3.871
_cell_length_b 3.871
_cell_length_c 14.742
_cell_angle_alpha 90.00
_cell_angle_beta 90.00
_cell_angle_gamma 90.00
loop_
_atom_site_label
_atom_site_type_symbol
_atom_site_fract_x
_atom_site_fract_y
_atom_site_fract_z
Ba1 Ba 0.000 0.000 0.000
Sr1 Sr 0.000 0.000 0.242
Pt1 Pt 0.000 0.000 0.627


# 10
# Ba4SrPt (PBE-GGA, optimized geometry)
# - Polymorph energy (0 for the lowest one): 0.821 eV per atom
# - ρ: 4.80 g/cm3
# - Crystal system: cubic
# - DOS(E_F): 40.45 states/eV/cell
data_Ba4SrPt
_symmetry_space_group_name_H-M 'F -4 3 m'
_symmetry_Int_Tables_number 216
_symmetry_space_group_name_Hall 'F -4 2 3'
_cell_length_a 10.480
_cell_length_b 10.480
_cell_length_c 10.480
_cell_angle_alpha 90.00
_cell_angle_beta 90.00
_cell_angle_gamma 90.00
loop_
_atom_site_label
_atom_site_type_symbol
_atom_site_fract_x
_atom_site_fract_y
_atom_site_fract_z
Ba1 Ba 0.124 0.124 0.124
Sr1 Sr 0.000 0.000 0.500
Pt1 Pt 0.250 0.250 0.750


# 11
# BaSrPt (PBE-GGA, optimized geometry)
# - Polymorph energy (0 for the lowest one): 0.000 eV per atom
# - ρ: 5.44 g/cm3
# - Crystal system: triclinic
# - DOS(E_F): 2.13 states/eV/cell
data_BaSrPt
_symmetry_space_group_name_H-M 'P -1'
_symmetry_Int_Tables_number 2
_cell_length_a 4.532
_cell_length_b 7.834
_cell_length_c 8.476
_cell_angle_alpha 63.24
_cell_angle_beta 74.56
_cell_angle_gamma 89.97
loop_
_symmetry_equiv_pos_as_xyz
'x,y,z'
'-x,-y,-z'
loop_
_atom_site_label
_atom_site_type_symbol
_atom_site_fract_x
_atom_site_fract_y
_atom_site_fract_z
Ba1 Ba 0.131 0.303 0.238
Sr1 Sr 0.358 0.191 0.783
Pt1 Pt 0.250 0.753 0.000


# 12
# Ba14SrPt (PBE-GGA, optimized geometry)
# - ρ: 3.86 g/cm3
# - Crystal system: orthorhombic
# - Total DFT energy (no corrections): -70.743 eV per cell
# - DOS(E_F): 47.46 states/eV/cell
data_Ba14SrPt
_symmetry_space_group_name_H-M 'A m m 2'
_symmetry_Int_Tables_number 38
_cell_length_a 12.109
_cell_length_b 11.119
_cell_length_c 14.075
_cell_angle_alpha 90.00
_cell_angle_beta 90.00
_cell_angle_gamma 90.00
loop_
_symmetry_equiv_pos_as_xyz
'x,y,z'
'-x,-y,z'
'-x,y,z'
'x,-y,z'
'x,y+1/2,z+1/2'
'-x,-y+1/2,z+1/2'
'-x,y+1/2,z+1/2'
'x,-y+1/2,z+1/2'
loop_
_atom_site_label
_atom_site_type_symbol
_atom_site_fract_x
_atom_site_fract_y
_atom_site_fract_z
Ba1 Ba 0.000 0.000 0.000
Ba2 Ba 0.000 0.000 0.472
Ba3 Ba 0.000 0.219 0.734
Ba4 Ba 0.235 0.000 0.232
Ba5 Ba 0.282 0.000 0.787
Ba6 Ba 0.313 0.185 0.521
Ba7 Ba 0.500 0.236 0.264
Sr1 Sr 0.500 0.000 0.019
Pt1 Pt 0.500 0.000 0.646